Entry from the Alexandria database: a geometry-optimized TaSnTe2N structure (PBE-GGA).

The structure in CIF format:
```
data_TaSnTe2N
_chemical_formula_sum 'Ta1 Sn1 Te2 N1'
_cell_length_a 5.699
_cell_length_b 5.699
_cell_length_c 3.879
_cell_angle_alpha 90.00
_cell_angle_beta 90.00
_cell_angle_gamma 90.00
_symmetry_space_group_name_H-M 'P 4/m m m'
_symmetry_Int_Tables_number 123
_symmetry_space_group_name_Hall '-P 4 2'
loop_
_atom_site_label
_atom_site_type_symbol
_atom_site_fract_x
_atom_site_fract_y
_atom_site_fract_z
Ta1 Ta 0.000 0.000 0.000
Sn1 Sn 0.500 0.500 0.500
Te1 Te 0.000 0.500 0.500
N1 N 0.500 0.500 0.000
```

Computed properties:
formation energy without anion corrections: 1.296 eV per atom
total moment: 1.69 μB/f.u.